# 1
Material: Ni3Te
Method: DFT, GGA-PBE
State: relaxed

Cell lengths 3.7908, 3.7908, 5.0723 Å; angles 90.00, 90.00, 120.00 degrees
Sites, in units of the cell vectors:
Ni 0.0000 0.0000 0.0000
Ni 0.3333 0.6667 0.2426
Ni 0.3333 0.6667 0.7574
Te 0.0000 0.0000 0.5000

Results
DFT total energy, Ha/atom: -0.1825
Space-group type: P-6m2
Theoretical density, kg/m3: 7989
E_form (uncorrected), eV/atom: 0.1553

=====

# 2
Material: NiTe3
Method: DFT, GGA-PBE
State: relaxed

Cell lengths 4.6016, 4.6016, 4.6016 Å; angles 90.00, 90.00, 90.00 degrees
Sites, in units of the cell vectors:
Ni 0.0000 0.0000 0.0000
Te 0.0000 0.5000 0.5000
Te 0.5000 0.0000 0.5000
Te 0.5000 0.5000 0.0000

Results
DFT total energy, Ha/atom: -0.1148
Space-group type: Pm-3m
Theoretical density, kg/m3: 7524
E_form (uncorrected), eV/atom: 0.6776

=====

Which value of theoretical density does entry 1 give?
7989 kg/m3

=====

What is the E_form (uncorrected) in the second record?
0.6776 eV/atom